Record 1
The following is a PBE-GGA calculation of an optimized crystal structure of NdScAsS, from Alexandria.

Calculated values
* space group: R3m, No. 160
* uncorrected formation energy: -6.44 eV/f.u.

a b c (Å): 7.2504 7.2504 7.2504
angles (deg): 31.23 31.23 31.23
Atoms (fractional coordinates):
Nd  0.0000  0.0000  0.0000
Sc  0.1721  0.1721  0.1721
As  0.5759  0.5759  0.5759
S  0.7615  0.7615  0.7615

Record 2
The following is a PBE-GGA calculation of an optimized crystal structure of TmUTcOs, from Alexandria.

Calculated values
* E_form: -0.3 eV/f.u.
* space group: F-43m, No. 216

a b c (Å): 4.7821 4.7821 4.7821
angles (deg): 60.00 60.00 60.00
Atoms (fractional coordinates):
Tm  0.0000  0.0000  0.0000
U  0.5000  0.5000  0.5000
Tc  0.2500  0.2500  0.2500
Os  0.7500  0.7500  0.7500

Record 3
The following is a PBE-GGA calculation of an optimized crystal structure of BaSrAl2, from Alexandria.

Calculated values
* E_form: 0.8 eV/f.u.
* space group: F-43m, No. 216

a b c (Å): 5.6259 5.6259 5.6259
angles (deg): 60.00 60.00 60.00
Atoms (fractional coordinates):
Ba  0.0000  0.0000  0.0000
Sr  0.2500  0.2500  0.2500
Al  0.5000  0.5000  0.5000
Al  0.7500  0.7500  0.7500

Record 4
The following is a PBE-GGA calculation of an optimized crystal structure of In3Ga2Sn3Hg, from Alexandria.

Calculated values
* E_form: 0.5 eV/f.u.
* space group: P-62m, No. 189

a b c (Å): 8.7994 8.7994 3.4035
angles (deg): 90.00 90.00 120.00
Atoms (fractional coordinates):
In  0.0000  0.7021  0.0000
In  0.2979  0.2979  0.0000
In  0.7021  0.0000  0.0000
Ga  0.3333  0.6667  0.0000
Ga  0.6667  0.3333  0.0000
Sn  0.0000  0.3744  0.5000
Sn  0.3744  0.0000  0.5000
Sn  0.6256  0.6256  0.5000
Hg  0.0000  0.0000  0.5000

Record 5
The following is a PBE-GGA calculation of an optimized crystal structure of Na2Tl3In7, from Alexandria.

Calculated values
* E_form: 0.0 eV/f.u.
* space group: P2/m, No. 10

a b c (Å): 5.5171 3.4736 18.0832
angles (deg): 90.00 92.06 90.00
Atoms (fractional coordinates):
Na  0.2246  0.0000  0.2926
Na  0.7754  0.0000  0.7074
Tl  0.0000  0.0000  0.0000
Tl  0.2649  0.5000  0.6303
Tl  0.7351  0.5000  0.3697
In  0.2108  0.5000  0.1438
In  0.2457  0.0000  0.4640
In  0.2868  0.0000  0.8285
In  0.5000  0.5000  0.0000
In  0.7132  0.0000  0.1715
In  0.7543  0.0000  0.5360
In  0.7892  0.5000  0.8562

Record 6
The following is a PBE-GGA calculation of an optimized crystal structure of HfCd2Ag, from Alexandria.

Calculated values
* E_form: 0.4 eV/f.u.
* space group: Fm-3m, No. 225

a b c (Å): 4.8463 4.8463 4.8463
angles (deg): 60.00 60.00 60.00
Atoms (fractional coordinates):
Hf  0.0000  0.0000  0.0000
Cd  0.2500  0.2500  0.2500
Cd  0.7500  0.7500  0.7500
Ag  0.5000  0.5000  0.5000

no.,spin magnetization (μB/atom)
1,0.100
2,0.288
3,0.000
4,0.000
5,0.000
6,0.000